A plane-wave DFT calculation with PBE+U was carried out for crystalline ZnCoO2 at its relaxed geometry.

Properties
Energy   -84.67 eV/cell

a = 4.6201 Å, b = 4.6201 Å, c = 9.2502 Å
α = 90.00°, β = 90.00°, γ = 90.00°
With the nearest neighbours (Å) after each atom.
Space group I-42d (No. 122)
Inequivalent atoms, fractional coordinates:
Zn (0.0000, 0.0000, 0.0000) (multiplicity 4)  4 O 2.00
Co (0.0000, 0.0000, 0.5000) (multiplicity 4)  4 O 2.00
O (0.2503, 0.2500, 0.1250) (multiplicity 8)  2 Co 2.00, 2 Zn 2.00